Entry from Alexandria: a relaxed structure of SmIn3Rh (PBE-GGA).

Lattice parameters (Å, degrees): 6.6201 5.7835 6.1178 90.00 90.00 90.32
Closest atoms and distances in Å follow each position.
Atoms (fractional coordinates):
Sm: 0.6279 0.3648 0.7500  2 Rh 2.95-3.22
Sm: 0.3721 0.6352 0.2500  2 Rh 2.95-3.22
Rh: 0.4666 0.8391 0.7500  5 In 2.70-2.83, 1 Sm 2.95
Rh: 0.5334 0.1609 0.2500  5 In 2.70-2.83, 1 Sm 2.95
In: 0.1989 0.1183 0.9950  2 Rh 2.72-2.83, 2 In 2.96-3.00
In: 0.8011 0.8817 0.4950  2 Rh 2.72-2.83, 2 In 2.96-3.00
In: 0.1989 0.1183 0.5050  2 Rh 2.72-2.83, 2 In 2.96-3.00
In: 0.8766 0.4163 0.2500  1 Rh 2.70
In: 0.1234 0.5837 0.7500  1 Rh 2.70
In: 0.8011 0.8817 0.0050  2 Rh 2.72-2.83, 2 In 2.96-3.00

Summary:
total moment: 0.00 μB per atom
DOS at the Fermi energy: 0.519 states/eV/atom
formation energy: -436 meV/atom